Entry 1:
This record from the Alexandria database describes a geometry-optimized V3Pb structure. The functional is GGA-PBE.

abc: 5.024 5.024 5.024
angles: 90.00 90.00 90.00
Fractional coordinates of all 8 atoms:
V (0.500, 0.250, 0.000)
V (0.500, 0.750, 0.000)
V (0.250, 0.000, 0.500)
V (0.750, 0.000, 0.500)
V (0.000, 0.500, 0.250)
V (0.000, 0.500, 0.750)
Pb (0.500, 0.500, 0.500)
Pb (0.000, 0.000, 0.000)

## Properties
As for the energy of formation from the pure elements: 94.9 kJ/mol of formula units. The total magnetic moment comes out at 0.00 μB per cell. The density of states at the Fermi level comes out at 7.74 states/eV/f.u.

=====

Entry 2:
This record from the Alexandria database describes a geometry-optimized SrY2Co structure. The functional is GGA-PBE.

abc: 6.306 6.306 6.557
angles: 59.23 59.23 34.35
Fractional coordinates of all 4 atoms:
Co (0.459, 0.459, 0.708)
Sr (0.193, 0.193, 0.253)
Y (0.015, 0.015, 0.919)
Y (0.833, 0.833, 0.621)

## Properties
As for the energy of formation from the pure elements: 47.0 kJ/mol of formula units. The polymorph energy (0 for the lowest one) is 124 meV per atom. The total magnetic moment comes out at 0.00 μB per cell. The density of states at the Fermi level comes out at 4.01 states/eV/f.u.